Compound: Sc3VCl
Source: Alexandria
Functional: GGA-PBE
Structure: optimized geometry

Properties
D(E_F) in states/eV/cell: 5.5
Uncorrected formation energy in eV per atom: -0.0444
Total magnetic moment in μB/atom: 0.4144
Offset from the most stable computed form in eV/atom: 0.000

Cell lengths 4.7743, 4.7743, 4.7743 Å; angles 90.00, 90.00, 90.00 degrees
Last column: nearest neighbours and their distance in Å.
Fractional positions:
Sc: 0.0000 0.5000 0.0000  2 Cl 2.39
Sc: 0.0000 0.0000 0.5000  2 Cl 2.39
Sc: 0.5000 0.0000 0.0000  2 Cl 2.39
V: 0.5000 0.5000 0.5000  12 Sc 3.38
Cl: 0.0000 0.0000 0.0000  6 Sc 2.39

Compound: Pm2SmN3
Source: Alexandria
Functional: GGA-PBE
Structure: optimized geometry

Properties
D(E_F) in states/eV/cell: 2.7
Uncorrected formation energy in eV per atom: -1.4508
Total magnetic moment in μB/atom: 0.0000

Cell lengths 5.0962, 7.2121, 10.8232 Å; angles 90.00, 90.00, 90.00 degrees
Last column: nearest neighbours and their distance in Å.
Fractional positions:
Pm: 0.2500 0.8736 0.7502  6 N 2.52-2.59
Pm: 0.2500 0.3736 0.7498  6 N 2.52-2.59
Pm: 0.2500 0.8734 0.4166  6 N 2.52-2.58
Pm: 0.2500 0.3734 0.0834  6 N 2.52-2.58
Pm: 0.7500 0.6266 0.9166  6 N 2.52-2.58
Pm: 0.7500 0.1267 0.5834  6 N 2.52-2.58
Pm: 0.7500 0.6264 0.2502  6 N 2.52-2.59
Pm: 0.7500 0.1264 0.2498  6 N 2.52-2.59
Sm: 0.2500 0.8738 0.0831  6 N 2.51-2.58
Sm: 0.2500 0.3738 0.4169  6 N 2.51-2.58
Sm: 0.7500 0.6262 0.5831  6 N 2.51-2.58
Sm: 0.7500 0.1262 0.9169  6 N 2.51-2.58
N: 0.2500 0.6275 0.5830  3 Pm 2.53-2.57, 3 Sm 2.55-2.56
N: 0.2500 0.1275 0.9170  3 Pm 2.53-2.57, 3 Sm 2.55-2.56
N: 0.2500 0.6305 0.9174  1 Sm 2.51, 5 Pm 2.52-2.59
N: 0.2500 0.1305 0.5826  1 Sm 2.51, 5 Pm 2.52-2.59
N: 0.2500 0.6292 0.2496  2 Sm 2.52-2.58, 4 Pm 2.52-2.58
N: 0.2500 0.1292 0.2504  2 Sm 2.52-2.58, 4 Pm 2.52-2.58
N: 0.7500 0.8708 0.7496  2 Sm 2.52-2.58, 4 Pm 2.52-2.58
N: 0.7500 0.3708 0.7504  2 Sm 2.52-2.58, 4 Pm 2.52-2.58
N: 0.7500 0.8695 0.4174  1 Sm 2.51, 5 Pm 2.52-2.59
N: 0.7500 0.3695 0.0826  1 Sm 2.51, 5 Pm 2.52-2.59
N: 0.7500 0.8725 0.0830  3 Pm 2.53-2.57, 3 Sm 2.55-2.56
N: 0.7500 0.3725 0.4170  3 Pm 2.53-2.57, 3 Sm 2.55-2.56